Entry 1:
{
  "formula": "Na3AlSn3S8",
  "functional": "PBE-GGA",
  "state": "optimized geometry",
  "cell": [[7.563, 0.000, 0.000], [-3.782, 6.539, -0.025], [0.000, -4.335, 6.919]],
  "species": ["Na", "Na", "Na", "Al", "Sn", "Sn", "Sn", "S", "S", "S", "S", "S", "S", "S", "S"],
  "fractional_positions": [[0.000, 0.000, 0.000], [0.000, 0.500, 0.000], [0.500, 0.500, 0.000], [0.000, 0.000, 0.500], [0.500, 0.000, 0.500], [0.500, 0.500, 0.500], [0.000, 0.500, 0.500], [0.257, 0.514, 0.273], [0.743, 0.486, 0.727], [0.777, 0.555, 0.295], [0.223, 0.445, 0.705], [0.779, 0.017, 0.294], [0.221, 0.983, 0.706], [0.238, 0.017, 0.294], [0.762, 0.983, 0.706]],
  "magmom_total_mub_per_cell": 0.00,
  "e_form_raw_mev_per_atom": -759
}

***

Entry 2:
{
  "formula": "NaSrAlS3",
  "functional": "PBE-GGA",
  "state": "optimized geometry",
  "cell": [[5.625, -1.500, -0.768], [1.311, 5.673, -0.768], [0.141, 0.085, 9.044]],
  "species": ["Na", "Na", "Sr", "Sr", "Al", "Al", "S", "S", "S", "S", "S", "S"],
  "fractional_positions": [[0.310, 0.690, 0.500], [0.690, 0.310, 0.500], [0.782, 0.782, 0.910], [0.218, 0.218, 0.090], [0.066, 0.066, 0.675], [0.934, 0.934, 0.325], [0.201, 0.201, 0.476], [0.284, 0.857, 0.819], [0.857, 0.284, 0.819], [0.143, 0.716, 0.181], [0.716, 0.143, 0.181], [0.799, 0.799, 0.524]],
  "magmom_total_mub_per_cell": 0.00,
  "e_form_raw_mev_per_atom": -1412
}

***

Entry 3:
{
  "formula": "Na3Tb3AlS8",
  "functional": "PBE-GGA",
  "state": "optimized geometry",
  "cell": [[-2.500, 6.094, -4.195], [-4.643, -3.180, 5.415], [6.446, 4.313, 2.425]],
  "species": ["Na", "Na", "Na", "Tb", "Tb", "Tb", "Al", "S", "S", "S", "S", "S", "S", "S", "S"],
  "fractional_positions": [[0.000, 0.000, 0.000], [0.000, 0.500, 0.000], [0.500, 0.500, 0.000], [0.500, 0.000, 0.500], [0.500, 0.500, 0.500], [0.000, 0.500, 0.500], [0.000, 0.000, 0.500], [0.257, 0.514, 0.271], [0.743, 0.486, 0.729], [0.778, 0.557, 0.290], [0.222, 0.443, 0.710], [0.778, 0.012, 0.290], [0.222, 0.988, 0.710], [0.233, 0.012, 0.290], [0.767, 0.988, 0.710]],
  "magmom_total_mub_per_cell": 0.00,
  "e_form_raw_mev_per_atom": -1542
}

***

Entry 4:
{
  "formula": "Na2TbAlS4",
  "functional": "PBE-GGA",
  "state": "optimized geometry",
  "cell": [[-3.787, 6.802, -0.107], [-6.308, -3.626, -2.770], [3.659, -2.583, 6.649]],
  "species": ["Na", "Na", "Na", "Na", "Tb", "Tb", "Al", "Al", "S", "S", "S", "S", "S", "S", "S", "S"],
  "fractional_positions": [[0.500, 0.000, 0.000], [0.500, 0.000, 0.500], [0.000, 0.000, 0.500], [0.500, 0.500, 0.000], [0.000, 0.500, 0.000], [0.000, 0.500, 0.500], [0.500, 0.500, 0.500], [0.000, 0.000, 0.000], [0.229, 0.763, 0.996], [0.737, 0.271, 0.504], [0.263, 0.729, 0.496], [0.771, 0.237, 0.004], [0.754, 0.751, 0.961], [0.749, 0.746, 0.539], [0.251, 0.254, 0.461], [0.246, 0.249, 0.039]],
  "magmom_total_mub_per_cell": 0.00,
  "e_form_raw_mev_per_atom": -1445
}

***

Entry 5:
{
  "formula": "Na4Tb3AlS8",
  "functional": "PBE-GGA",
  "state": "optimized geometry",
  "cell": [[-2.555, 2.477, 6.961], [3.266, -6.490, 3.508], [4.534, 4.631, -4.374]],
  "species": ["Na", "Na", "Na", "Na", "Tb", "Tb", "Tb", "Al", "S", "S", "S", "S", "S", "S", "S", "S"],
  "fractional_positions": [[0.500, 0.000, 0.000], [0.500, 0.000, 0.500], [0.000, 0.000, 0.000], [0.000, 0.000, 0.500], [0.500, 0.500, 0.000], [0.500, 0.500, 0.500], [0.000, 0.500, 0.500], [0.000, 0.500, 0.000], [0.227, 0.717, 0.991], [0.227, 0.718, 0.455], [0.257, 0.270, 0.513], [0.764, 0.717, 0.991], [0.236, 0.283, 0.009], [0.743, 0.730, 0.487], [0.773, 0.282, 0.545], [0.773, 0.283, 0.009]],
  "magmom_total_mub_per_cell": 0.00,
  "e_form_raw_mev_per_atom": -1628
}

***

Entry 6:
{
  "formula": "NaAlTcS2",
  "functional": "PBE-GGA",
  "state": "optimized geometry",
  "cell": [[4.810, 0.000, 0.000], [0.000, 4.801, 0.000], [0.000, 0.000, 4.810]],
  "species": ["Na", "S", "S", "Tc", "Al"],
  "fractional_positions": [[0.500, 0.500, 0.500], [0.000, 0.000, 0.500], [0.500, 0.000, 0.000], [0.000, 0.500, 0.000], [0.000, 0.000, 0.000]],
  "magmom_total_mub_per_cell": 3.55,
  "e_form_raw_mev_per_atom": 446
}

***

Entry 7:
{
  "formula": "Na2AlTeS4",
  "functional": "PBE-GGA",
  "state": "optimized geometry",
  "cell": [[-5.468, -1.982, -3.402], [1.821, -5.676, -3.131], [0.591, 1.661, 6.487]],
  "species": ["Na", "Na", "Al", "Te", "S", "S", "S", "S"],
  "fractional_positions": [[0.538, 0.038, 0.078], [0.305, 0.306, 0.611], [0.974, 0.475, 0.949], [0.810, 0.811, 0.621], [0.594, 0.547, 0.629], [0.852, 0.357, 0.128], [0.276, 0.771, 0.128], [0.037, 0.082, 0.630]],
  "magmom_total_mub_per_cell": 0.00,
  "e_form_raw_mev_per_atom": -750
}

***

Entry 8:
{
  "formula": "NaThAlS4",
  "functional": "PBE-GGA",
  "state": "optimized geometry",
  "cell": [[-7.326, -1.595, -0.383], [-2.844, -3.014, -6.633], [-2.236, -7.485, 0.362]],
  "species": ["Na", "Na", "Th", "Th", "Al", "Al", "S", "S", "S", "S", "S", "S", "S", "S"],
  "fractional_positions": [[0.500, 0.000, 0.500], [0.000, 0.000, 0.500], [0.000, 0.000, 0.000], [0.000, 0.500, 0.500], [0.643, 0.607, 0.107], [0.357, 0.393, 0.893], [0.750, 0.733, 0.768], [0.250, 0.732, 0.767], [0.750, 0.268, 0.233], [0.250, 0.267, 0.232], [0.262, 0.743, 0.243], [0.752, 0.743, 0.243], [0.248, 0.257, 0.757], [0.738, 0.257, 0.757]],
  "magmom_total_mub_per_cell": 0.00,
  "e_form_raw_mev_per_atom": -1389
}

***

Entry 9:
{
  "formula": "Na2TiAl2S6",
  "functional": "PBE-GGA",
  "state": "optimized geometry",
  "cell": [[6.104, -0.011, 0.060], [-3.027, 5.301, 0.060], [-1.093, -1.879, 6.734]],
  "species": ["Na", "Na", "Ti", "Al", "Al", "S", "S", "S", "S", "S", "S"],
  "fractional_positions": [[0.835, 0.165, 0.000], [0.165, 0.835, 0.000], [0.000, 0.000, 0.500], [0.331, 0.669, 0.500], [0.669, 0.331, 0.500], [0.729, 0.729, 0.697], [0.066, 0.403, 0.700], [0.271, 0.271, 0.303], [0.403, 0.066, 0.700], [0.934, 0.597, 0.300], [0.597, 0.934, 0.300]],
  "magmom_total_mub_per_cell": 0.00,
  "e_form_raw_mev_per_atom": -1188
}

***

Entry 10:
{
  "formula": "NaAlTl2S4",
  "functional": "PBE-GGA",
  "state": "optimized geometry",
  "cell": [[-1.334, 6.514, -1.540], [-6.221, -2.808, 0.053], [3.396, -0.927, 4.993]],
  "species": ["Na", "Al", "Tl", "Tl", "S", "S", "S", "S"],
  "fractional_positions": [[0.055, 0.055, 0.110], [0.491, 0.491, 0.983], [0.797, 0.297, 0.594], [0.297, 0.797, 0.594], [0.565, 0.565, 0.687], [0.386, 0.787, 0.174], [0.787, 0.386, 0.174], [0.122, 0.122, 0.687]],
  "magmom_total_mub_per_cell": 0.00,
  "e_form_raw_mev_per_atom": -653
}

***

Entry 11:
{
  "formula": "NaAlTl2S",
  "functional": "PBE-GGA",
  "state": "optimized geometry",
  "cell": [[5.692, 0.000, 0.000], [0.000, 4.837, 0.000], [0.000, 0.000, 5.692]],
  "species": ["Na", "Tl", "Tl", "S", "Al"],
  "fractional_positions": [[0.000, 0.000, 0.000], [0.000, 0.000, 0.500], [0.500, 0.000, 0.000], [0.000, 0.500, 0.000], [0.500, 0.500, 0.500]],
  "magmom_total_mub_per_cell": 0.00,
  "e_form_raw_mev_per_atom": 354
}

***

Entry 12:
{
  "formula": "Na3Tm3AlS8",
  "functional": "PBE-GGA",
  "state": "optimized geometry",
  "cell": [[7.666, 0.001, 0.000], [-3.832, 6.640, -0.025], [-0.001, -4.403, 6.794]],
  "species": ["Na", "Na", "Na", "Tm", "Tm", "Tm", "Al", "S", "S", "S", "S", "S", "S", "S", "S"],
  "fractional_positions": [[0.000, 0.000, 0.000], [0.000, 0.500, 0.000], [0.500, 0.500, 0.000], [0.500, 0.000, 0.500], [0.500, 0.500, 0.500], [0.000, 0.500, 0.500], [0.000, 0.000, 0.500], [0.258, 0.516, 0.275], [0.742, 0.484, 0.725], [0.776, 0.552, 0.291], [0.224, 0.448, 0.709], [0.776, 0.015, 0.291], [0.224, 0.985, 0.709], [0.238, 0.014, 0.290], [0.762, 0.986, 0.710]],
  "magmom_total_mub_per_cell": 0.00,
  "e_form_raw_mev_per_atom": -1561
}

***

Entry 13:
{
  "formula": "Na3Tm2AlS6",
  "functional": "PBE-GGA",
  "state": "optimized geometry",
  "cell": [[-3.186, 5.491, -1.898], [-2.866, -4.196, 4.252], [4.725, 2.895, 4.314]],
  "species": ["Na", "Na", "Na", "Tm", "Tm", "Al", "S", "S", "S", "S", "S", "S"],
  "fractional_positions": [[0.168, 0.832, 0.500], [0.832, 0.168, 0.500], [0.500, 0.500, 0.500], [0.334, 0.666, 0.000], [0.666, 0.334, 0.000], [0.000, 0.000, 0.000], [0.928, 0.617, 0.784], [0.763, 0.763, 0.213], [0.072, 0.383, 0.216], [0.617, 0.928, 0.784], [0.237, 0.237, 0.787], [0.383, 0.072, 0.216]],
  "magmom_total_mub_per_cell": 0.00,
  "e_form_raw_mev_per_atom": -1591
}

***

Entry 14:
{
  "formula": "Na2UAlS5",
  "functional": "PBE-GGA",
  "state": "optimized geometry",
  "cell": [[3.933, 0.000, 0.000], [-1.966, 8.508, 0.000], [0.000, 0.000, 13.398]],
  "species": ["Na", "Na", "Na", "Na", "U", "U", "Al", "Al", "S", "S", "S", "S", "S", "S", "S", "S", "S", "S"],
  "fractional_positions": [[0.901, 0.803, 0.848], [0.082, 0.163, 0.660], [0.099, 0.197, 0.348], [0.918, 0.837, 0.160], [0.773, 0.546, 0.534], [0.227, 0.454, 0.034], [0.577, 0.154, 0.917], [0.423, 0.846, 0.417], [0.371, 0.741, 0.010], [0.713, 0.425, 0.896], [0.509, 0.018, 0.781], [0.277, 0.553, 0.660], [0.934, 0.868, 0.516], [0.629, 0.259, 0.510], [0.287, 0.575, 0.396], [0.491, 0.982, 0.281], [0.723, 0.447, 0.160], [0.066, 0.132, 0.016]],
  "magmom_total_mub_per_cell": 2.00,
  "e_form_raw_mev_per_atom": -1186
}

***

Entry 15:
{
  "formula": "NaAlVS2",
  "functional": "PBE-GGA",
  "state": "optimized geometry",
  "cell": [[4.651, 0.000, 0.000], [0.000, 4.778, 0.000], [0.000, 0.000, 4.651]],
  "species": ["Na", "S", "S", "Al", "V"],
  "fractional_positions": [[0.500, 0.500, 0.500], [0.000, 0.000, 0.500], [0.500, 0.000, 0.000], [0.000, 0.500, 0.000], [0.000, 0.000, 0.000]],
  "magmom_total_mub_per_cell": 0.00,
  "e_form_raw_mev_per_atom": -262
}

***

Entry 16:
{
  "formula": "Na2YAlS4",
  "functional": "PBE-GGA",
  "state": "optimized geometry",
  "cell": [[-0.323, 5.767, 5.177], [-7.523, 0.983, -1.613], [2.844, -7.155, 2.025]],
  "species": ["Na", "Na", "Na", "Na", "Y", "Y", "Al", "Al", "S", "S", "S", "S", "S", "S", "S", "S"],
  "fractional_positions": [[0.500, 0.000, 0.000], [0.500, 0.000, 0.500], [0.000, 0.000, 0.500], [0.500, 0.500, 0.000], [0.000, 0.500, 0.000], [0.000, 0.500, 0.500], [0.500, 0.500, 0.500], [0.000, 0.000, 0.000], [0.227, 0.763, 0.995], [0.737, 0.273, 0.505], [0.263, 0.727, 0.495], [0.773, 0.237, 0.005], [0.752, 0.749, 0.960], [0.751, 0.748, 0.540], [0.249, 0.252, 0.460], [0.248, 0.251, 0.040]],
  "magmom_total_mub_per_cell": 0.00,
  "e_form_raw_mev_per_atom": -1436
}

***

Entry 17:
{
  "formula": "NaAlZn2S4",
  "functional": "PBE-GGA",
  "state": "optimized geometry",
  "cell": [[5.756, 0.238, 0.000], [-0.241, 5.756, 0.000], [-2.758, -2.997, 5.214]],
  "species": ["Na", "Al", "Zn", "Zn", "S", "S", "S", "S"],
  "fractional_positions": [[0.000, 0.000, 0.001], [0.500, 0.500, 0.000], [0.750, 0.250, 0.500], [0.250, 0.750, 0.500], [0.590, 0.590, 0.737], [0.410, 0.853, 0.263], [0.853, 0.410, 0.263], [0.147, 0.147, 0.737]],
  "magmom_total_mub_per_cell": 0.00,
  "e_form_raw_mev_per_atom": -967
}

***

Entry 18:
{
  "formula": "NaAl2ZnS4",
  "functional": "PBE-GGA",
  "state": "optimized geometry",
  "cell": [[5.742, -0.113, 0.000], [-0.589, 5.713, 0.000], [-2.577, -2.800, 5.350]],
  "species": ["Na", "Al", "Al", "Zn", "S", "S", "S", "S"],
  "fractional_positions": [[0.017, 0.017, 0.033], [0.760, 0.260, 0.521], [0.260, 0.760, 0.521], [0.496, 0.496, 0.992], [0.587, 0.587, 0.704], [0.410, 0.853, 0.263], [0.853, 0.410, 0.263], [0.118, 0.118, 0.704]],
  "magmom_total_mub_per_cell": 0.00,
  "e_form_raw_mev_per_atom": -846
}

***

Entry 19:
{
  "formula": "Na3Zr3AlS8",
  "functional": "PBE-GGA",
  "state": "optimized geometry",
  "cell": [[-4.474, 5.324, 2.380], [-0.064, -1.960, -7.084], [-3.303, -5.128, 5.264]],
  "species": ["Na", "Na", "Na", "Zr", "Zr", "Zr", "Al", "S", "S", "S", "S", "S", "S", "S", "S"],
  "fractional_positions": [[0.000, 0.000, 0.000], [0.000, 0.500, 0.000], [0.500, 0.500, 0.000], [0.500, 0.000, 0.500], [0.500, 0.500, 0.500], [0.000, 0.500, 0.500], [0.000, 0.000, 0.500], [0.258, 0.516, 0.275], [0.742, 0.484, 0.725], [0.772, 0.544, 0.292], [0.228, 0.456, 0.708], [0.772, 0.020, 0.292], [0.228, 0.980, 0.708], [0.247, 0.020, 0.292], [0.753, 0.980, 0.708]],
  "magmom_total_mub_per_cell": 0.00,
  "e_form_raw_mev_per_atom": -1413
}

***

Entry 20:
{
  "formula": "Na4Zr3AlS8",
  "functional": "PBE-GGA",
  "state": "optimized geometry",
  "cell": [[7.436, 0.000, 0.000], [0.000, 7.935, 0.342], [-3.718, -3.714, 5.262]],
  "species": ["Na", "Na", "Na", "Na", "Zr", "Zr", "Zr", "Al", "S", "S", "S", "S", "S", "S", "S", "S"],
  "fractional_positions": [[0.500, 0.000, 0.000], [0.500, 0.000, 0.500], [0.000, 0.000, 0.000], [0.000, 0.000, 0.500], [0.500, 0.500, 0.000], [0.500, 0.500, 0.500], [0.000, 0.500, 0.500], [0.000, 0.500, 0.000], [0.230, 0.713, 0.984], [0.230, 0.713, 0.460], [0.258, 0.273, 0.515], [0.753, 0.713, 0.984], [0.247, 0.287, 0.016], [0.742, 0.727, 0.485], [0.770, 0.287, 0.540], [0.770, 0.287, 0.016]],
  "magmom_total_mub_per_cell": 0.00,
  "e_form_raw_mev_per_atom": -1375
}